VASP calculation (PBE) on an optimized crystal structure of CeInIrO6.

extended XYZ file:
```
18
Lattice="5.492 0.000 0.000 -2.746 4.756 0.000 0.000 0.000 9.160" Properties=species:S:1:pos:R:3 pbc="T T T"
O 1.094 1.548 3.404
O -0.793 1.722 5.756
O 3.604 0.174 3.404
O 1.953 3.035 1.176
O -1.652 3.208 7.984
O 1.652 3.208 5.756
O 1.888 0.174 1.176
O 3.539 3.035 3.404
O 0.858 4.583 7.984
O 4.398 1.548 1.176
O 0.793 1.722 7.984
O -0.858 4.583 5.756
Ce 2.746 1.585 6.870
Ce 0.000 3.171 2.290
In 0.000 0.000 0.000
In 0.000 0.000 4.580
Ir 0.000 3.171 6.870
Ir 2.746 1.585 2.290
```

Calculated values
* E_form (uncorrected): -1.6972 eV/atom
* space-group type: P-31c (163)

---

VASP calculation (PBE) on an optimized crystal structure of Ce3InP2Ir9.

extended XYZ file:
```
15
Lattice="-5.475 1.217 0.367 1.697 -4.439 -3.000 -0.803 -6.267 8.820" Properties=species:S:1:pos:R:3 pbc="T T T"
P -3.762 -5.961 6.693
P -0.818 -3.528 -0.506
Ir 0.848 -2.220 -1.500
Ir 0.300 -5.391 0.169
Ir -4.005 -6.387 4.471
Ir -2.058 -4.725 5.829
Ir -0.575 -3.102 1.716
Ir -2.523 -4.764 0.358
Ir -2.737 0.609 0.183
Ir -4.880 -4.098 6.018
Ir -1.889 -1.611 -1.317
Ce -3.387 -3.037 2.578
Ce -1.193 -6.452 3.609
Ce 0.000 0.000 0.000
In -0.401 -3.133 4.410
```

Calculated values
* energy of formation from the pure elements: -398 meV per atom
* space-group type: P-3m1 (164)

---

VASP calculation (PBE) on an optimized crystal structure of Ce2InP3Ir4.

extended XYZ file:
```
10
Lattice="-3.432 1.923 -0.854 -1.814 -3.532 -0.665 -2.893 -0.494 10.520" Properties=species:S:1:pos:R:3 pbc="T T T"
Ir 0.000 0.000 0.000
Ir -2.623 -0.804 -0.759
Ir -3.645 0.633 6.587
Ir -1.871 -1.931 3.174
P -1.447 -0.247 5.260
P -4.248 0.530 8.778
P -1.269 -1.828 0.982
In -4.070 -1.051 4.501
Ce -2.402 0.845 2.066
Ce -3.114 -2.143 7.694
```

Calculated values
* energy of formation from the pure elements: -826 meV per atom
* space-group type: P-4m2 (115)

---

VASP calculation (PBE) on an optimized crystal structure of CeInP2Ir5.

extended XYZ file:
```
9
Lattice="4.028 0.000 0.000 0.000 4.028 0.000 0.000 0.000 10.574" Properties=species:S:1:pos:R:3 pbc="T T T"
Ir 2.014 2.014 5.287
Ir 0.000 2.014 8.651
Ir 2.014 0.000 1.923
Ir 0.000 2.014 1.923
Ir 2.014 0.000 8.651
P 2.014 2.014 2.991
P 2.014 2.014 7.584
In 0.000 0.000 0.000
Ce 0.000 0.000 5.287
```

Calculated values
* energy of formation from the pure elements: -449 meV per atom
* space-group type: P4/mmm (123)

---

VASP calculation (PBE) on an optimized crystal structure of CeInIrPd.

extended XYZ file:
```
4
Lattice="-4.303 -1.116 -1.897 -2.350 -3.949 1.498 -4.005 0.438 2.670" Properties=species:S:1:pos:R:3 pbc="T T T"
In -2.664 -1.157 0.568
Ce -7.993 -3.470 1.703
Pd -5.329 -2.313 1.135
Ir 0.000 0.000 0.000
```

Calculated values
* energy of formation from the pure elements: -572 meV per atom
* space-group type: F-43m (216)

---

VASP calculation (PBE) on an optimized crystal structure of CePuInIr.

extended XYZ file:
```
4
Lattice="4.952 0.000 0.000 2.476 4.288 0.000 2.476 1.429 4.043" Properties=species:S:1:pos:R:3 pbc="T T T"
Ir 7.428 4.288 3.032
Pu 2.476 1.429 1.011
Ce 4.952 2.859 2.022
In 0.000 0.000 0.000
```

Calculated values
* energy of formation from the pure elements: -353 meV per atom
* space-group type: F-43m (216)